# PBE Pm3SbPd, optimized geometry
data_Pm3SbPd
_chemical_formula_sum 'Pm3 Sb1 Pd1'
_cell_length_a 5.493
_cell_length_b 5.493
_cell_length_c 5.493
_cell_angle_alpha 90.00
_cell_angle_beta 90.00
_cell_angle_gamma 90.00
_symmetry_space_group_name_H-M 'P 1'
_symmetry_Int_Tables_number 1
loop_
_symmetry_equiv_pos_as_xyz
'x,y,z'
loop_
_atom_site_label
_atom_site_type_symbol
_atom_site_fract_x
_atom_site_fract_y
_atom_site_fract_z
Sb1 Sb 0.500 0.500 0.500
Pd1 Pd 0.000 0.000 0.000
Pm1 Pm 0.000 0.500 0.000
Pm2 Pm 0.000 0.000 0.500
Pm3 Pm 0.500 0.000 0.000
# V in Å³/atom: 33.15
# Energy relative to the lowest polymorph listed for this composition in eV per atom: 0.252
# Raw formation energy in eV/atom: -0.39